[1]
# Al3Ga | Alexandria via LeMat-Bulk | GGA-PBEsol | relaxed
# Magnetization, μB/f.u.: 0.00
# SG: Pm-3m
# Formation enthalpy at 0 K, eV/atom: 0.01
data_Al3Ga
_symmetry_space_group_name_H-M 'P 1'
_symmetry_Int_Tables_number 1
_cell_length_a 4.032
_cell_length_b 4.030
_cell_length_c 4.030
_cell_angle_alpha 90.00
_cell_angle_beta 90.00
_cell_angle_gamma 90.00
loop_
_symmetry_equiv_pos_as_xyz
'x,y,z'
loop_
_atom_site_label
_atom_site_fract_x
_atom_site_fract_y
_atom_site_fract_z
Al1 0.000 0.000 0.500
Al2 0.000 0.500 0.000
Al3 0.500 0.000 0.000
Ga1 0.500 0.500 0.500

---

[2]
# CoMoRu3 | Alexandria via LeMat-Bulk | GGA-PBEsol | relaxed
# Magnetization, μB/f.u.: 2.49
# SG: Pm-3m
# Formation enthalpy at 0 K, eV/atom: 1.58
data_CoMoRu3
_symmetry_space_group_name_H-M 'P 1'
_symmetry_Int_Tables_number 1
_cell_length_a 4.271
_cell_length_b 4.271
_cell_length_c 4.271
_cell_angle_alpha 90.00
_cell_angle_beta 90.00
_cell_angle_gamma 90.00
loop_
_symmetry_equiv_pos_as_xyz
'x,y,z'
loop_
_atom_site_label
_atom_site_fract_x
_atom_site_fract_y
_atom_site_fract_z
Ru1 0.000 0.500 0.000
Co1 0.000 0.000 0.000
Ru2 0.500 0.000 0.000
Ru3 0.000 0.000 0.500
Mo1 0.500 0.500 0.500

---

[3]
# LaAsAu | Alexandria via LeMat-Bulk | GGA-PBEsol | relaxed
# Magnetization, μB/f.u.: 0.00
# SG: P3m1
# Formation enthalpy at 0 K, eV/atom: -1.01
data_LaAsAu
_symmetry_space_group_name_H-M 'P 1'
_symmetry_Int_Tables_number 1
_cell_length_a 4.154
_cell_length_b 4.381
_cell_length_c 4.381
_cell_angle_alpha 120.00
_cell_angle_beta 90.00
_cell_angle_gamma 90.00
loop_
_symmetry_equiv_pos_as_xyz
'x,y,z'
loop_
_atom_site_label
_atom_site_fract_x
_atom_site_fract_y
_atom_site_fract_z
La1 0.335 0.333 0.667
Au1 0.799 0.667 0.333
As1 0.866 0.000 0.000

---

[4]
# BaLiSn3 | Alexandria via LeMat-Bulk | GGA-PBEsol | relaxed
# Magnetization, μB/f.u.: 0.00
# SG: Pm-3m
# Formation enthalpy at 0 K, eV/atom: -0.29
data_BaLiSn3
_symmetry_space_group_name_H-M 'P 1'
_symmetry_Int_Tables_number 1
_cell_length_a 5.153
_cell_length_b 5.153
_cell_length_c 5.153
_cell_angle_alpha 90.00
_cell_angle_beta 90.00
_cell_angle_gamma 90.00
loop_
_symmetry_equiv_pos_as_xyz
'x,y,z'
loop_
_atom_site_label
_atom_site_fract_x
_atom_site_fract_y
_atom_site_fract_z
Li1 0.000 0.000 0.000
Sn1 0.000 0.000 0.500
Sn2 0.500 0.000 0.000
Sn3 0.000 0.500 0.000
Ba1 0.500 0.500 0.500

---

[5]
# Al2CoTcMo | Alexandria via LeMat-Bulk | GGA-PBEsol | relaxed
# Magnetization, μB/f.u.: 0.49
# SG: P4/mmm
# Formation enthalpy at 0 K, eV/atom: 0.76
data_Al2CoTcMo
_symmetry_space_group_name_H-M 'P 1'
_symmetry_Int_Tables_number 1
_cell_length_a 4.244
_cell_length_b 4.244
_cell_length_c 4.350
_cell_angle_alpha 90.00
_cell_angle_beta 90.00
_cell_angle_gamma 90.00
loop_
_symmetry_equiv_pos_as_xyz
'x,y,z'
loop_
_atom_site_label
_atom_site_fract_x
_atom_site_fract_y
_atom_site_fract_z
Mo1 0.500 0.500 0.500
Tc1 0.000 0.000 0.500
Al1 0.500 0.000 0.000
Al2 0.000 0.500 0.000
Co1 0.000 0.000 0.000

---

[6]
# TlHg4Se | Alexandria via LeMat-Bulk | GGA-PBEsol | relaxed
# Raw total energy, eV/atom: -1.345
# Magnetization, μB/f.u.: 0.00
# SG: F-43m
data_TlHg4Se
_symmetry_space_group_name_H-M 'P 1'
_symmetry_Int_Tables_number 1
_cell_length_a 5.981
_cell_length_b 5.981
_cell_length_c 5.981
_cell_angle_alpha 60.00
_cell_angle_beta 60.00
_cell_angle_gamma 60.00
loop_
_symmetry_equiv_pos_as_xyz
'x,y,z'
loop_
_atom_site_label
_atom_site_fract_x
_atom_site_fract_y
_atom_site_fract_z
Se1 0.750 0.750 0.750
Hg1 0.375 0.375 0.874
Hg2 0.375 0.874 0.375
Hg3 0.375 0.375 0.375
Hg4 0.874 0.375 0.375
Tl1 0.000 0.000 0.000

---

[7]
# CdIn2Se4 | Alexandria via LeMat-Bulk | GGA-PBEsol | relaxed
# Energy relative to the lowest polymorph listed for this composition, kcal/mol of atoms: 0.272
# Magnetization, μB/f.u.: 0.00
# SG: Fd-3m
data_CdIn2Se4
_symmetry_space_group_name_H-M 'P 1'
_symmetry_Int_Tables_number 1
_cell_length_a 8.037
_cell_length_b 8.037
_cell_length_c 8.037
_cell_angle_alpha 60.00
_cell_angle_beta 60.00
_cell_angle_gamma 60.00
loop_
_symmetry_equiv_pos_as_xyz
'x,y,z'
loop_
_atom_site_label
_atom_site_fract_x
_atom_site_fract_y
_atom_site_fract_z
In1 0.625 0.125 0.125
Se1 0.366 0.902 0.366
In2 0.125 0.125 0.125
Se2 0.884 0.884 0.884
Se3 0.884 0.348 0.884
Se4 0.348 0.884 0.884
Cd1 0.750 0.750 0.750
Se5 0.902 0.366 0.366
Se6 0.366 0.366 0.366
In3 0.125 0.625 0.125
In4 0.125 0.125 0.625
Cd2 0.500 0.500 0.500
Se7 0.366 0.366 0.902
Se8 0.884 0.884 0.348

---

[8]
# LaCu2ReOs | Alexandria via LeMat-Bulk | GGA-PBEsol | relaxed
# Magnetization, μB/f.u.: 2.54
# SG: P4/mmm
# Formation enthalpy at 0 K, eV/atom: 1.90
data_LaCu2ReOs
_symmetry_space_group_name_H-M 'P 1'
_symmetry_Int_Tables_number 1
_cell_length_a 4.607
_cell_length_b 4.607
_cell_length_c 5.119
_cell_angle_alpha 90.00
_cell_angle_beta 90.00
_cell_angle_gamma 90.00
loop_
_symmetry_equiv_pos_as_xyz
'x,y,z'
loop_
_atom_site_label
_atom_site_fract_x
_atom_site_fract_y
_atom_site_fract_z
Os1 0.500 0.500 0.500
Re1 0.000 0.000 0.000
La1 0.000 0.000 0.500
Cu1 0.500 0.000 0.000
Cu2 0.000 0.500 0.000

---

[9]
# CsIrI2N | Alexandria via LeMat-Bulk | GGA-PBEsol | relaxed
# Raw total energy, eV/atom: -2.222
# Magnetization, μB/f.u.: 4.40
# SG: P4/mmm
data_CsIrI2N
_symmetry_space_group_name_H-M 'P 1'
_symmetry_Int_Tables_number 1
_cell_length_a 4.525
_cell_length_b 6.655
_cell_length_c 6.655
_cell_angle_alpha 90.00
_cell_angle_beta 90.00
_cell_angle_gamma 90.00
loop_
_symmetry_equiv_pos_as_xyz
'x,y,z'
loop_
_atom_site_label
_atom_site_fract_x
_atom_site_fract_y
_atom_site_fract_z
Ir1 0.500 0.500 0.500
N1 0.500 0.000 0.000
I1 0.000 0.500 0.000
Cs1 0.000 0.000 0.000
I2 0.000 0.000 0.500

---

[10]
# MgZr2Zn2 | Alexandria via LeMat-Bulk | GGA-PBEsol | relaxed
# Magnetization, μB/f.u.: 0.00
# SG: I4/mmm
# Formation enthalpy at 0 K, eV/atom: 0.24
data_MgZr2Zn2
_symmetry_space_group_name_H-M 'P 1'
_symmetry_Int_Tables_number 1
_cell_length_a 3.300
_cell_length_b 3.300
_cell_length_c 9.469
_cell_angle_alpha 100.03
_cell_angle_beta 100.03
_cell_angle_gamma 90.00
loop_
_symmetry_equiv_pos_as_xyz
'x,y,z'
loop_
_atom_site_label
_atom_site_fract_x
_atom_site_fract_y
_atom_site_fract_z
Mg1 0.000 0.000 0.000
Zr1 0.385 0.385 0.769
Zn1 0.250 0.750 0.500
Zr2 0.615 0.615 0.231
Zn2 0.750 0.250 0.500

---

[11]
# CuReHg2 | Alexandria via LeMat-Bulk | GGA-PBEsol | relaxed
# Magnetization, μB/f.u.: 0.00
# SG: Imm2
# Formation enthalpy at 0 K, eV/atom: 0.64
data_CuReHg2
_symmetry_space_group_name_H-M 'P 1'
_symmetry_Int_Tables_number 1
_cell_length_a 2.813
_cell_length_b 4.835
_cell_length_c 5.659
_cell_angle_alpha 115.29
_cell_angle_beta 104.39
_cell_angle_gamma 90.00
loop_
_symmetry_equiv_pos_as_xyz
'x,y,z'
loop_
_atom_site_label
_atom_site_fract_x
_atom_site_fract_y
_atom_site_fract_z
Cu1 0.237 0.737 0.475
Hg1 0.759 0.259 0.518
Re1 0.519 0.519 0.038
Hg2 0.985 0.985 0.969

---

[12]
# MnFeGe2 | Alexandria via LeMat-Bulk | GGA-PBEsol | relaxed
# Magnetization, μB/f.u.: 0.46
# SG: Fm-3m
# Formation enthalpy at 0 K, eV/atom: -0.03
data_MnFeGe2
_symmetry_space_group_name_H-M 'P 1'
_symmetry_Int_Tables_number 1
_cell_length_a 4.052
_cell_length_b 4.052
_cell_length_c 4.052
_cell_angle_alpha 60.00
_cell_angle_beta 60.00
_cell_angle_gamma 60.00
loop_
_symmetry_equiv_pos_as_xyz
'x,y,z'
loop_
_atom_site_label
_atom_site_fract_x
_atom_site_fract_y
_atom_site_fract_z
Ge1 0.750 0.750 0.750
Mn1 0.000 0.000 0.000
Fe1 0.500 0.500 0.500
Ge2 0.250 0.250 0.250

---

Question: Which value of magnetization does entry 3 give?
Answer: 0.00 μB/f.u.